Record 1
## Ga2FeRu (PBE-GGA)

Data for Ga2FeRu after structural relaxation.

Its size of the total moment is 6.6 μB per cell. For the theoretical density, the calculation gives 8.81 g cm⁻³. The formation energy comes out at -0.10 eV per atom.

The space group is R3m (No. 160, hexagonal axes) and the conventional cell measures 2.8351, 2.8351 and 24.0844 Å, with angles of 90.00, 90.00 and 120.00 degrees. The distinct sites, in fractional coordinates, are Ga at (0.0000, 0.0000, 0.0000), Ga at (0.0000, 0.0000, 0.1649), Fe at (0.0000, 0.0000, 0.4163) and Ru at (0.0000, 0.0000, 0.5823).



Record 2
## Nd4Cd2InAu (PBE-GGA)

Data for Nd4Cd2InAu after structural relaxation.

Its size of the total moment is 1.5 μB per cell. For the theoretical density, the calculation gives 8.28 g cm⁻³. The formation energy comes out at -0.46 eV per atom.

The space group is R-3m (No. 166, hexagonal axes) and the conventional cell measures 5.4051, 5.4051 and 26.4735 Å, with angles of 90.00, 90.00 and 120.00 degrees. The distinct sites, in fractional coordinates, are Nd at (0.0000, 0.0000, 0.1202), Nd at (0.0000, 0.0000, 0.3710), Cd at (0.0000, 0.0000, 0.2448), In at (0.0000, 0.0000, 0.5000) and Au at (0.0000, 0.0000, 0.0000).